{"formula": "PmCu2I6", "functional": "GGA-PBE", "state": "relaxed", "raw_formation_energy_ev_per_atom": -0.63, "magmom_total_mub_per_fu": 0.000, "lattice_angstrom": [[7.560, -6.852, 0.000], [7.560, 6.852, 0.000], [-2.388, 0.000, 7.351]], "species": ["Pm", "Pm", "Cu", "Cu", "Cu", "Cu", "I", "I", "I", "I", "I", "I", "I", "I", "I", "I", "I", "I"], "fractional_positions": [[0.107, 0.893, 0.750], [0.893, 0.107, 0.250], [0.212, 0.382, 0.755], [0.382, 0.212, 0.255], [0.618, 0.788, 0.745], [0.788, 0.618, 0.245], [0.030, 0.195, 0.665], [0.070, 0.619, 0.806], [0.195, 0.030, 0.165], [0.364, 0.390, 0.540], [0.381, 0.930, 0.694], [0.390, 0.364, 0.040], [0.610, 0.636, 0.960], [0.619, 0.070, 0.306], [0.636, 0.610, 0.460], [0.805, 0.970, 0.835], [0.930, 0.381, 0.194], [0.970, 0.805, 0.335]]}